! KTlSb3, relaxed, DFT GGA-PBEsol; values from VASP
&SYSTEM
  ibrav = 0, nat = 5, ntyp = 3
/
ATOMIC_SPECIES
Sb 121.76 Sb.upf
Tl 204.38 Tl.upf
K 39.10 K.upf
ATOMIC_POSITIONS crystal
Sb 0.000 0.500 0.000
Sb 0.000 0.000 0.500
Sb 0.500 0.000 0.000
Tl 0.000 0.000 0.000
K 0.500 0.500 0.500
CELL_PARAMETERS angstrom
5.731 0.000 0.000
0.000 5.731 0.000
0.000 0.000 5.731
! **Final energy**: -0.11087 Ha/atom
! **E_form (uncorrected)**: 470.1 meV per atom